(1)
Here is an optimized crystal structure of CaW from Alexandria. Energies are from PBE-GGA.

```
CaW
1.0
16.619 0.000 0.000
0.000 3.224 0.000
-2.169 0.000 5.635
Ca W
6 6
direct
0.000 0.000 0.000 Ca
0.069 0.000 0.567 Ca
0.215 0.500 0.209 Ca
0.500 0.500 0.000 Ca
0.569 0.500 0.567 Ca
0.715 0.000 0.209 Ca
0.299 0.500 0.772 W
0.363 0.000 0.129 W
0.378 0.000 0.569 W
0.799 0.000 0.772 W
0.863 0.500 0.129 W
0.878 0.500 0.569 W
```

Values from the calculation:
D(E_F) in states/eV per cell: 7.954
ΔE_f in eV/atom: 0.731
Total moment in μB/f.u.: 0.00
Volume in Å³ per atom: 25.16

***

(2)
Here is an optimized crystal structure of CaW from Alexandria. Energies are from PBE-GGA.

```
CaW
1.0
3.392 0.000 0.000
0.000 3.392 0.000
0.000 0.000 8.984
Ca W
2 2
direct
0.250 0.250 0.188 Ca
0.750 0.750 0.812 Ca
0.250 0.250 0.559 W
0.750 0.750 0.441 W
```

Values from the calculation:
D(E_F) in states/eV per cell: 3.911
ΔE_f in eV/atom: 0.489
Total moment in μB/f.u.: 0.00
Volume in Å³ per atom: 25.84

***

(3)
Here is an optimized crystal structure of CaW from Alexandria. Energies are from PBE-GGA.

```
CaW
1.0
5.292 0.000 0.000
-2.646 4.583 0.000
0.000 0.000 6.009
Ca W
2 2
direct
0.333 0.667 0.250 Ca
0.667 0.333 0.750 Ca
0.333 0.667 0.750 W
0.667 0.333 0.250 W
```

Values from the calculation:
D(E_F) in states/eV per cell: 7.967
ΔE_f in eV/atom: 2.898
Total moment in μB/f.u.: 3.68
Volume in Å³ per atom: 36.44

***

(4)
Here is an optimized crystal structure of Ca5W3 from Alexandria. Energies are from PBE-GGA.

```
Ca5W3
1.0
5.803 0.000 0.000
2.900 8.741 0.000
2.901 0.000 8.747
Ca W
10 6
direct
0.080 0.138 0.202 Ca
0.218 0.703 0.361 Ca
0.250 0.500 0.000 Ca
0.273 0.145 0.809 Ca
0.417 0.309 0.355 Ca
0.583 0.691 0.645 Ca
0.727 0.855 0.191 Ca
0.750 0.500 0.000 Ca
0.782 0.297 0.639 Ca
0.920 0.862 0.798 Ca
0.165 0.506 0.665 W
0.304 0.000 0.500 W
0.330 0.835 0.006 W
0.670 0.165 0.994 W
0.696 0.000 0.500 W
0.835 0.494 0.335 W
```

Values from the calculation:
D(E_F) in states/eV per cell: 12.704
ΔE_f in eV/atom: 1.225
Total moment in μB/f.u.: 5.84
Volume in Å³ per atom: 27.73

***

(5)
Here is an optimized crystal structure of CaY2W from Alexandria. Energies are from PBE-GGA.

```
CaY2W
1.0
4.842 0.000 0.000
0.000 4.842 0.000
0.000 0.000 4.461
Ca Y W
1 2 1
direct
0.000 0.000 0.000 Ca
0.000 0.500 0.500 Y
0.500 0.000 0.500 Y
0.500 0.500 0.000 W
```

Values from the calculation:
D(E_F) in states/eV per cell: 5.466
ΔE_f in eV/atom: 0.653
Total moment in μB/f.u.: 0.00
Volume in Å³ per atom: 26.15

***

(6)
Here is an optimized crystal structure of CaYW2 from Alexandria. Energies are from PBE-GGA.

```
CaYW2
1.0
3.435 0.000 0.000
0.000 5.087 0.000
0.000 0.000 10.352
Ca Y W
2 2 4
direct
0.000 0.000 0.000 Ca
0.500 0.500 0.000 Ca
0.000 0.500 0.326 Y
0.500 0.000 0.326 Y
0.000 0.000 0.566 W
0.000 0.500 0.750 W
0.500 0.000 0.750 W
0.500 0.500 0.566 W
```

Values from the calculation:
D(E_F) in states/eV per cell: 9.139
ΔE_f in eV/atom: 0.606
Total moment in μB/f.u.: 0.00
Volume in Å³ per atom: 22.61